1.
A relaxed SrCoRe2 crystal, computed with GGA-PBEsol.

Properties
* distance to the lowest polymorph of the same formula: 0.000 kcal/mol of atoms
* energy of formation from the pure elements: 0.755 eV per atom

a b c (Å): 3.092 3.092 7.397
angles (deg): 90.00 90.00 90.00
Space group P4/mmm (No. 123)
Symmetry-distinct sites (fractional):
Sr 0.000 0.000 0.000 (multiplicity 1)
Co 0.000 0.000 0.500 (multiplicity 1)
Re 0.500 0.500 0.337 (multiplicity 2)

2.
A relaxed SrCoRe2 crystal, computed with GGA-PBEsol.

Properties
* distance to the lowest polymorph of the same formula: 5.146 kcal/mol of atoms
* energy of formation from the pure elements: 0.978 eV per atom

a b c (Å): 2.636 4.925 10.770
angles (deg): 90.00 90.00 90.00
Space group Imm2 (No. 44)
Symmetry-distinct sites (fractional):
Sr 0.000 0.000 0.000 (multiplicity 2)
Co 0.000 0.500 0.995 (multiplicity 2)
Re 0.000 0.000 0.304 (multiplicity 2)
Re 0.000 0.500 0.216 (multiplicity 2)

3.
A relaxed SrCo2Re crystal, computed with GGA-PBEsol.

Properties
* distance to the lowest polymorph of the same formula: 13.470 kcal/mol of atoms
* energy of formation from the pure elements: 1.226 eV per atom

a b c (Å): 3.749 3.749 8.755
angles (deg): 90.00 90.00 90.00
Space group I-4m2 (No. 119)
Symmetry-distinct sites (fractional):
Sr 0.000 0.000 0.000 (multiplicity 2)
Co 0.000 0.000 0.500 (multiplicity 2)
Co 0.000 0.500 0.250 (multiplicity 2)
Re 0.000 0.500 0.750 (multiplicity 2)

4.
A relaxed SrCo2Re crystal, computed with GGA-PBEsol.

Properties
* distance to the lowest polymorph of the same formula: 0.000 kcal/mol of atoms
* energy of formation from the pure elements: 0.642 eV per atom

a b c (Å): 2.839 3.078 7.367
angles (deg): 90.00 90.00 90.00
Space group Pmm2 (No. 25)
Symmetry-distinct sites (fractional):
Sr 0.000 0.000 0.000 (multiplicity 1)
Co 0.000 0.000 0.469 (multiplicity 1)
Co 0.500 0.500 0.323 (multiplicity 1)
Re 0.500 0.500 0.659 (multiplicity 1)

5.
A relaxed SrCoRe crystal, computed with GGA-PBEsol.

Properties
* energy of formation from the pure elements: 0.594 eV per atom

a b c (Å): 2.771 3.596 11.245
angles (deg): 90.00 90.00 90.00
Space group Imm2 (No. 44)
Symmetry-distinct sites (fractional):
Sr 0.000 0.000 0.000 (multiplicity 2)
Co 0.000 0.000 0.291 (multiplicity 2)
Re 0.000 0.000 0.717 (multiplicity 2)

6.
A relaxed SrCoRe2 crystal, computed with GGA-PBEsol.

Properties
* distance to the lowest polymorph of the same formula: 9.841 kcal/mol of atoms
* energy of formation from the pure elements: 1.182 eV per atom

a b c (Å): 3.698 3.698 4.942
angles (deg): 90.00 90.00 90.00
Space group P4/mmm (No. 123)
Symmetry-distinct sites (fractional):
Sr 0.000 0.000 0.000 (multiplicity 1)
Co 0.500 0.500 0.000 (multiplicity 1)
Re 0.000 0.500 0.500 (multiplicity 2)

7.
A relaxed TaCo6Re crystal, computed with GGA-PBEsol.

Properties
* energy of formation from the pure elements: -0.140 eV per atom

a b c (Å): 7.112 10.059 10.073
angles (deg): 90.00 90.00 90.00
Space group Cmmm (No. 65)
Symmetry-distinct sites (fractional):
Ta 0.000 0.000 0.248 (multiplicity 4)
Ta 0.000 0.247 0.000 (multiplicity 4)
Co 0.000 0.000 0.000 (multiplicity 2)
Co 0.000 0.000 0.500 (multiplicity 2)
Co 0.000 0.253 0.256 (multiplicity 8)
Co 0.000 0.500 0.000 (multiplicity 2)
Co 0.000 0.500 0.500 (multiplicity 2)
Co 0.244 0.377 0.129 (multiplicity 16)
Co 0.245 0.373 0.378 (multiplicity 16)
Re 0.000 0.246 0.500 (multiplicity 4)
Re 0.000 0.500 0.247 (multiplicity 4)

8.
A relaxed Ta2CoRe crystal, computed with GGA-PBEsol.

Properties
* energy of formation from the pure elements: 0.004 eV per atom

a b c (Å): 3.245 4.183 4.423
angles (deg): 90.00 90.00 90.00
Space group Pmmm (No. 47)
Symmetry-distinct sites (fractional):
Ta 0.000 0.000 0.000 (multiplicity 1)
Ta 0.500 0.000 0.500 (multiplicity 1)
Co 0.000 0.500 0.500 (multiplicity 1)
Re 0.500 0.500 0.000 (multiplicity 1)

9.
A relaxed Ta2CoRe crystal, computed with GGA-PBEsol.

Properties
* energy of formation from the pure elements: -0.021 eV per atom

a b c (Å): 3.167 3.167 5.998
angles (deg): 90.00 90.00 90.00
Space group P4mm (No. 99)
Symmetry-distinct sites (fractional):
Ta 0.000 0.000 0.000 (multiplicity 1)
Ta 0.500 0.500 0.289 (multiplicity 1)
Co 0.000 0.000 0.510 (multiplicity 1)
Re 0.500 0.500 0.757 (multiplicity 1)

10.
A relaxed TaCo4Re crystal, computed with GGA-PBEsol.

Properties
* energy of formation from the pure elements: -0.128 eV per atom

a b c (Å): 6.557 6.557 6.557
angles (deg): 90.00 90.00 90.00
Space group F-43m (No. 216)
Symmetry-distinct sites (fractional):
Ta 0.000 0.000 0.000 (multiplicity 4)
Co 0.124 0.124 0.376 (multiplicity 16)
Re 0.250 0.250 0.750 (multiplicity 4)

11.
A relaxed Ta2CoRe crystal, computed with GGA-PBEsol.

Properties
* energy of formation from the pure elements: -0.224 eV per atom

a b c (Å): 4.391 4.391 3.138
angles (deg): 90.00 90.00 90.00
Space group P4/mmm (No. 123)
Symmetry-distinct sites (fractional):
Ta 0.000 0.500 0.000 (multiplicity 2)
Co 0.000 0.000 0.500 (multiplicity 1)
Re 0.500 0.500 0.500 (multiplicity 1)

12.
A relaxed Ta2CoRe crystal, computed with GGA-PBEsol.

Properties
* energy of formation from the pure elements: -0.010 eV per atom

a b c (Å): 3.470 4.171 8.247
angles (deg): 90.00 90.00 90.00
Space group Cmm2 (No. 35)
Symmetry-distinct sites (fractional):
Ta 0.000 0.000 0.000 (multiplicity 2)
Ta 0.000 0.500 0.286 (multiplicity 2)
Co 0.000 0.500 0.762 (multiplicity 2)
Re 0.000 0.000 0.560 (multiplicity 2)

13.
A relaxed CoReTcTe2 crystal, computed with GGA-PBEsol.

Properties
* raw formation energy: 1.6954 eV per atom

a b c (Å): 5.067 5.067 4.421
angles (deg): 90.00 90.00 90.00
Space group P4/mmm (No. 123)
Symmetry-distinct sites (fractional):
Co 0.000 0.000 0.000 (multiplicity 1)
Re 0.000 0.000 0.500 (multiplicity 1)
Tc 0.500 0.500 0.000 (multiplicity 1)
Te 0.000 0.500 0.500 (multiplicity 2)

14.
A relaxed CoReTe crystal, computed with GGA-PBEsol.

Properties
* raw formation energy: 0.6370 eV per atom

a b c (Å): 3.185 3.185 8.982
angles (deg): 90.00 90.00 90.00
Space group I4mm (No. 107)
Symmetry-distinct sites (fractional):
Co 0.000 0.000 0.000 (multiplicity 2)
Re 0.000 0.000 0.339 (multiplicity 2)
Te 0.000 0.000 0.664 (multiplicity 2)